Entry from the Alexandria database: Li2MnSiS4 after structural relaxation (PBE-GGA).

a b c (Å): 5.3603 5.3603 6.7390
angles (deg): 113.43 113.43 90.01
Each line ends with the local moment (μB).
Element x y z (fractional)
1 Li 0.7500 0.2500 0.5001  0.01
2 Li 0.2500 0.7500 0.5001  0.01
3 Mn 0.0001 0.0001 0.0002  4.22
4 Si 0.5000 0.5000 0.0000  0.03
5 S 0.6124 0.6124 0.7695  0.03
6 S 0.3878 0.8428 0.2306  0.03
7 S 0.8428 0.3878 0.2306  0.03
8 S 0.1571 0.1571 0.7695  0.03

## Properties
The magnetic moment is 5.0 μB/f.u. The calculation puts the volume at 20.01 A^3/atom. For the formation energy (no corrections), the calculation gives -0.945 eV per atom. The value obtained for the energy is -5.31 eV/atom.